Entry 1:
CrSb2SI: relaxed, PBEsol.

Lattice parameters (Å, degrees): 4.8767 4.9798 4.9798 90.00 90.00 90.00
With the nearest neighbours (Å) after each atom.
Sites, in units of the cell vectors:
1 I 0.5000 0.0000 0.0000  2 Cr 2.44
2 Sb 0.0000 0.0000 0.5000  2 Cr 2.49
3 Sb 0.0000 0.5000 0.0000  2 Cr 2.49
4 S 0.5000 0.5000 0.5000  8 Sb 3.49, 4 I 3.52
5 Cr 0.0000 0.0000 0.0000  2 I 2.44, 4 Sb 2.49

Summary:
Energy relative to the elements, uncorrected: 537 meV per atom


Entry 2:
Ca3InTe: relaxed, PBEsol.

Lattice parameters (Å, degrees): 5.7468 5.7468 5.7468 90.00 90.00 90.00
With the nearest neighbours (Å) after each atom.
Sites, in units of the cell vectors:
1 Ca 0.0000 0.5000 0.0000  2 Te 2.87
2 Ca 0.0000 0.0000 0.5000  2 Te 2.87
3 Ca 0.5000 0.0000 0.0000  2 Te 2.87
4 Te 0.0000 0.0000 0.0000  6 Ca 2.87
5 In 0.5000 0.5000 0.5000  12 Ca 4.06

Summary:
Energy relative to the elements, uncorrected: -438 meV per atom


Entry 3:
Co2ReMo: relaxed, PBEsol.

Lattice parameters (Å, degrees): 4.1522 4.1522 4.1522 60.00 60.00 60.00
With the nearest neighbours (Å) after each atom.
Sites, in units of the cell vectors:
1 Re 0.2500 0.2500 0.2500  4 Co 2.54, 4 Mo 2.54
2 Mo 0.5000 0.5000 0.5000  4 Co 2.54, 4 Re 2.54
3 Co 0.0000 0.0000 0.0000  4 Re 2.54, 4 Co 2.54
4 Co 0.7500 0.7500 0.7500  4 Mo 2.54, 4 Co 2.54

Summary:
Formation enthalpy at 0 K: 0.23 eV per atom
Energy above the lowest structure with this stoichiometry: 302 meV/atom


Entry 4:
TlPN2: relaxed, PBEsol.

Lattice parameters (Å, degrees): 5.2575 5.2575 5.2575 90.52 119.70 119.70
With the nearest neighbours (Å) after each atom.
Sites, in units of the cell vectors:
1 P 0.5000 0.2500 0.7500  4 N 1.63
2 P 0.0000 0.5000 0.5000  4 N 1.63
3 Tl 0.5000 0.7500 0.2500  8 N 2.87-3.09
4 Tl 0.0000 0.0000 0.0000  8 N 2.87-3.09
5 N 0.6995 0.3245 0.1250  2 P 1.63
6 N 0.3005 0.4255 0.6250  2 P 1.63
7 N 0.1995 0.8750 0.5745  2 P 1.63
8 N 0.8005 0.3750 0.6755  2 P 1.63

Summary:
Energy relative to the elements, uncorrected: -206 meV per atom


Entry 5:
Ba2FeAg: relaxed, PBEsol.

Lattice parameters (Å, degrees): 5.4667 5.5416 5.5416 60.39 60.45 60.45
With the nearest neighbours (Å) after each atom.
Sites, in units of the cell vectors:
1 Ag 0.0000 0.5000 0.5000  8 Ba 3.38-3.40
2 Ba 0.2473 0.7527 0.7527  4 Fe 3.35-3.42, 4 Ag 3.38-3.40
3 Ba 0.7527 0.2473 0.2473  4 Fe 3.35-3.42, 4 Ag 3.38-3.40
4 Fe 0.5000 0.0000 0.0000  8 Ba 3.35-3.42

Summary:
Formation enthalpy at 0 K: 0.46 eV per atom
Energy above the lowest structure with this stoichiometry: 169 meV/atom


Entry 6:
YAgF2: relaxed, PBEsol.

Lattice parameters (Å, degrees): 4.3597 4.3597 4.3597 60.00 60.00 60.00
With the nearest neighbours (Å) after each atom.
Sites, in units of the cell vectors:
1 Y 0.0000 0.0000 0.0000  8 F 2.67
2 Ag 0.5000 0.5000 0.5000  8 F 2.67
3 F 0.2500 0.2500 0.2500  4 Ag 2.67, 4 Y 2.67
4 F 0.7500 0.7500 0.7500  4 Y 2.67, 4 Ag 2.67

Summary:
Energy above the lowest structure with this stoichiometry: 0 meV/atom
Energy relative to the elements, uncorrected: -1895 meV per atom


Entry 7:
KLa3I: relaxed, PBEsol.

Lattice parameters (Å, degrees): 5.6284 5.6284 5.6284 90.00 90.00 90.00
With the nearest neighbours (Å) after each atom.
Sites, in units of the cell vectors:
1 I 0.5000 0.5000 0.5000  12 La 3.98
2 K 0.0000 0.0000 0.0000  6 La 2.81
3 La 0.0000 0.5000 0.0000  2 K 2.81
4 La 0.0000 0.0000 0.5000  2 K 2.81
5 La 0.5000 0.0000 0.0000  2 K 2.81

Summary:
Energy relative to the elements, uncorrected: 822 meV per atom


Entry 8:
ZnBN2: relaxed, PBEsol.

Lattice parameters (Å, degrees): 4.2502 4.7189 4.2502 116.77 90.00 116.77
With the nearest neighbours (Å) after each atom.
Sites, in units of the cell vectors:
1 Zn 0.2500 0.5000 0.7500  4 N 1.99
2 Zn 0.0000 0.0000 0.0000  4 N 1.99
3 B 0.7500 0.5000 0.2500  4 N 1.57
4 B 0.5000 0.0000 0.5000  4 N 1.57
5 N 0.7928 0.2500 0.8750  2 B 1.57
6 N 0.4572 0.2500 0.3750  2 B 1.57
7 N 0.6250 0.7500 0.2072  2 B 1.57
8 N 0.1250 0.7500 0.5428  2 B 1.57

Summary:
Energy relative to the elements, uncorrected: -334 meV per atom


Entry 9:
Mg2NbTeAu: relaxed, PBEsol.

Lattice parameters (Å, degrees): 5.0692 5.1021 5.1021 90.00 90.00 90.00
With the nearest neighbours (Å) after each atom.
Sites, in units of the cell vectors:
1 Nb 0.5000 0.0000 0.0000  2 Te 2.53
2 Te 0.0000 0.0000 0.0000  2 Nb 2.53, 4 Mg 2.55
3 Au 0.5000 0.5000 0.5000  8 Mg 3.60, 4 Nb 3.61
4 Mg 0.0000 0.0000 0.5000  2 Te 2.55
5 Mg 0.0000 0.5000 0.0000  2 Te 2.55

Summary:
Energy relative to the elements, uncorrected: 899 meV per atom


Entry 10:
TiMn3Au: relaxed, PBEsol.

Lattice parameters (Å, degrees): 4.7779 4.7779 4.7779 90.00 90.00 90.00
With the nearest neighbours (Å) after each atom.
Sites, in units of the cell vectors:
1 Mn 0.0000 0.5000 0.0000  2 Au 2.39
2 Mn 0.0000 0.0000 0.5000  2 Au 2.39
3 Mn 0.5000 0.0000 0.0000  2 Au 2.39
4 Au 0.0000 0.0000 0.0000  6 Mn 2.39
5 Ti 0.5000 0.5000 0.5000  12 Mn 3.38

Summary:
Formation enthalpy at 0 K: 1.33 eV per atom


Entry 11:
MnCoSb2: relaxed, PBEsol.

Lattice parameters (Å, degrees): 4.4622 4.4622 4.4622 60.00 60.00 60.00
With the nearest neighbours (Å) after each atom.
Sites, in units of the cell vectors:
1 Co 0.0000 0.0000 0.0000  8 Sb 2.73
2 Mn 0.5000 0.5000 0.5000  8 Sb 2.73
3 Sb 0.2500 0.2500 0.2500  4 Mn 2.73, 4 Co 2.73
4 Sb 0.7500 0.7500 0.7500  4 Co 2.73, 4 Mn 2.73

Summary:
Energy above the lowest structure with this stoichiometry: 163 meV/atom
Energy relative to the elements, uncorrected: 294 meV per atom


Entry 12:
Sr3Ta2ZnO9: relaxed, PBEsol.

Lattice parameters (Å, degrees): 5.6559 5.6559 6.9679 90.00 90.00 120.00
With the nearest neighbours (Å) after each atom.
Sites, in units of the cell vectors:
1 Sr 0.0000 0.0000 0.0000  12 O 2.82-2.83
2 Sr 0.3333 0.6667 0.6590  12 O 2.82-2.88
3 Sr 0.6667 0.3333 0.3410  12 O 2.82-2.88
4 Ta 0.3333 0.6667 0.1766  6 O 1.92-2.04
5 Ta 0.6667 0.3333 0.8234  6 O 1.92-2.04
6 Zn 0.0000 0.0000 0.5000  6 O 2.05
7 O 0.5000 0.5000 0.0000  2 Ta 2.04
8 O 0.5000 0.0000 0.0000  2 Ta 2.04
9 O 0.0000 0.5000 0.0000  2 Ta 2.04
10 O 0.1693 0.8307 0.3265  1 Ta 1.92, 1 Zn 2.05
11 O 0.1693 0.3387 0.3265  1 Ta 1.92, 1 Zn 2.05
12 O 0.6613 0.8307 0.3265  1 Ta 1.92, 1 Zn 2.05
13 O 0.8307 0.1693 0.6735  1 Ta 1.92, 1 Zn 2.05
14 O 0.8307 0.6613 0.6735  1 Ta 1.92, 1 Zn 2.05
15 O 0.3387 0.1693 0.6735  1 Ta 1.92, 1 Zn 2.05

Summary:
Energy relative to the elements, uncorrected: -2849 meV per atom